# PBE BaLi2PuF8, optimized geometry
# Size of the total moment ... 4.00 μB/f.u.
# Raw formation energy ... -3.28 eV/atom
# Total energy ... -6.2006 eV per atom
data_BaLi2PuF8
_cell_length_a 5.5787
_cell_length_b 5.5787
_cell_length_c 7.8761
_cell_angle_alpha 90.00
_cell_angle_beta 90.00
_cell_angle_gamma 120.00
_symmetry_space_group_name_H-M 'P -3 m 1'
_symmetry_Int_Tables_number 164
_symmetry_space_group_name_Hall '-P 3 2"'
loop_
_atom_site_label
_atom_site_type_symbol
_atom_site_fract_x
_atom_site_fract_y
_atom_site_fract_z
Ba1 Ba 0.0000 0.0000 0.0000
Li1 Li 0.3333 0.6667 0.2061
Pu1 Pu 0.0000 0.0000 0.5000
F1 F 0.1635 0.3270 0.3153
F2 F 0.3333 0.6667 0.9815